(1)
# LaDy2ThSc PBE-GGA relaxed
data_LaDy2ThSc
_cell_length_a 7.848
_cell_length_b 5.047
_cell_length_c 7.893
_cell_angle_alpha 90.00
_cell_angle_beta 90.55
_cell_angle_gamma 90.00
_symmetry_space_group_name_H-M 'P 1 21/m 1'
_symmetry_Int_Tables_number 11
loop_
_symmetry_equiv_pos_as_xyz
'x,y,z'
'-x,-y,-z'
'-x,y+1/2,-z'
'x,-y+1/2,z'
loop_
_atom_site_label
_atom_site_type_symbol
_atom_site_fract_x
_atom_site_fract_y
_atom_site_fract_z
La1 La 0.248 0.250 0.245
Dy1 Dy 0.160 0.750 0.945
Dy2 Dy 0.346 0.750 0.547
Th1 Th 0.054 0.250 0.649
Sc1 Sc 0.448 0.250 0.847
# Total magnetization = 0.00 μB per atom
# Final energy = -5.52 eV per atom



(2)
# SrAs2PdRh PBE-GGA relaxed
data_SrAs2PdRh
_cell_length_a 4.383
_cell_length_b 4.383
_cell_length_c 10.501
_cell_angle_alpha 90.00
_cell_angle_beta 90.00
_cell_angle_gamma 90.00
_symmetry_space_group_name_H-M 'I -4 m 2'
_symmetry_Int_Tables_number 119
_symmetry_space_group_name_Hall 'I -4 -2'
loop_
_atom_site_label
_atom_site_type_symbol
_atom_site_fract_x
_atom_site_fract_y
_atom_site_fract_z
Sr1 Sr 0.000 0.000 0.000
As1 As 0.000 0.000 0.369
Pd1 Pd 0.000 0.500 0.750
Rh1 Rh 0.000 0.500 0.250
# Total magnetization = 0.00 μB per atom
# Final energy = -5.45 eV per atom



(3)
# Zn2GeRh4 PBE-GGA relaxed
data_Zn2GeRh4
_cell_length_a 5.953
_cell_length_b 5.953
_cell_length_c 5.905
_cell_angle_alpha 90.00
_cell_angle_beta 90.00
_cell_angle_gamma 90.00
_symmetry_space_group_name_H-M 'I 4/m m m'
_symmetry_Int_Tables_number 139
_symmetry_space_group_name_Hall '-I 4 2'
loop_
_atom_site_label
_atom_site_type_symbol
_atom_site_fract_x
_atom_site_fract_y
_atom_site_fract_z
Zn1 Zn 0.000 0.500 0.000
Ge1 Ge 0.000 0.000 0.000
Rh1 Rh 0.250 0.250 0.250
# Total magnetization = 0.00 μB per atom
# Final energy = -5.45 eV per atom



(4)
# Mg4ReSi PBE-GGA relaxed
data_Mg4ReSi
_cell_length_a 7.537
_cell_length_b 7.537
_cell_length_c 7.537
_cell_angle_alpha 90.00
_cell_angle_beta 90.00
_cell_angle_gamma 90.00
_symmetry_space_group_name_H-M 'F -4 3 m'
_symmetry_Int_Tables_number 216
_symmetry_space_group_name_Hall 'F -4 2 3'
loop_
_atom_site_label
_atom_site_type_symbol
_atom_site_fract_x
_atom_site_fract_y
_atom_site_fract_z
Mg1 Mg 0.124 0.124 0.124
Re1 Re 0.250 0.250 0.750
Si1 Si 0.000 0.000 0.500
# Total magnetization = 0.00 μB per atom
# E_form (uncorrected) = 686 meV/atom



(5)
# HgP PBE-GGA relaxed
data_HgP
_cell_length_a 7.204
_cell_length_b 7.442
_cell_length_c 8.509
_cell_angle_alpha 90.00
_cell_angle_beta 90.00
_cell_angle_gamma 90.00
_symmetry_space_group_name_H-M 'P 21 21 21'
_symmetry_Int_Tables_number 19
loop_
_symmetry_equiv_pos_as_xyz
'x,y,z'
'-x+1/2,-y,z+1/2'
'x+1/2,-y+1/2,-z'
'-x,y+1/2,-z+1/2'
loop_
_atom_site_label
_atom_site_type_symbol
_atom_site_fract_x
_atom_site_fract_y
_atom_site_fract_z
Hg1 Hg 0.000 0.246 0.249
Hg2 Hg 0.000 0.250 0.749
P1 P 0.118 0.000 0.585
P2 P 0.119 0.497 0.086
# Total magnetization = 0.00 μB per atom
# Final energy = -2.70 eV per atom